## CoSiPd2O (GGA+U)

Data for CoSiPd2O after structural relaxation.

Computed properties:
**Crystal system**: tetragonal
**DFT total energy**: -4.929 eV per atom
**Volume**: 77.1 Å³/f.u.
**DOS(E_F)**: 2.7 states/eV/f.u.

a b c (Å): 4.793 4.793 3.354
angles (deg): 90.00 90.00 90.00
Space group P4/mmm (No. 123)
Asymmetric unit:
Co (0.000, 0.000, 0.000)
Si (0.500, 0.500, 0.500)
Pd (0.000, 0.500, 0.000)
O (0.000, 0.000, 0.500)

=====

## Sm2CoPdO6 (GGA+U)

Data for Sm2CoPdO6 after structural relaxation.

Computed properties:
**Crystal system**: monoclinic
**DFT total energy**: -7.053 eV per atom
**Volume**: 121.7 Å³/f.u.

a b c (Å): 5.399 5.822 9.441
angles (deg): 90.00 124.88 90.00
Space group P2_1/c (No. 14)
Asymmetric unit:
Sm (0.228, 0.073, 0.250)
Co (0.500, 0.000, 0.000)
Pd (0.000, 0.000, 0.500)
O (0.133, 0.199, 0.944)
O (0.256, 0.694, 0.946)
O (0.361, 0.038, 0.752)

=====

## Sr2CoPdO6 (GGA+U)

Data for Sr2CoPdO6 after structural relaxation.

Computed properties:
**Crystal system**: trigonal
**DFT total energy**: -5.818 eV per atom
**Volume**: 128.1 Å³/f.u.
**DOS(E_F)**: 3.8 states/eV/f.u.

a b c (Å): 5.5470 5.5470 28.8349
angles (deg): 90.00 90.00 120.00
Space group R-3m (No. 166, hexagonal axes)
Asymmetric unit:
Sr (0.0000, 0.0000, 0.1236)
Sr (0.0000, 0.0000, 0.2942)
Co (0.0000, 0.0000, 0.0000)
Co (0.0000, 0.0000, 0.5000)
Pd (0.0000, 0.0000, 0.4120)
O (0.0074, 0.5037, 0.7054)
O (0.0227, 0.5113, 0.1256)

=====

## Sr2CoPdO5 (GGA+U)

Data for Sr2CoPdO5 after structural relaxation.

Computed properties:
**Crystal system**: orthorhombic
**DFT total energy**: -5.896 eV per atom
**Volume**: 124.3 Å³/f.u.
**DOS(E_F)**: 2.7 states/eV/f.u.

a b c (Å): 3.354 14.151 10.478
angles (deg): 90.00 90.00 90.00
Space group Cmc2_1 (No. 36)
Asymmetric unit:
Sr (0.000, 0.097, 0.000)
Sr (0.000, 0.133, 0.638)
Co (0.000, 0.450, 0.784)
Pd (0.000, 0.217, 0.358)
O (0.000, 0.070, 0.377)
O (0.000, 0.274, 0.982)
O (0.000, 0.302, 0.738)
O (0.000, 0.362, 0.328)
O (0.000, 0.499, 0.619)

=====

## Sr2CoPdO4 (GGA+U)

Data for Sr2CoPdO4 after structural relaxation.

Computed properties:
**Crystal system**: tetragonal
**DFT total energy**: -5.831 eV per atom
**Volume**: 118.5 Å³/f.u.

a b c (Å): 6.082 6.082 6.407
angles (deg): 90.00 90.00 90.00
Space group I-4 (No. 82)
Asymmetric unit:
Sr (0.000, 0.000, 0.000)
Sr (0.000, 0.500, 0.250)
Co (0.000, 0.000, 0.500)
Pd (0.000, 0.500, 0.750)
O (0.163, 0.795, 0.694)

=====

## Tb2CoPdO6 (GGA+U)

Data for Tb2CoPdO6 after structural relaxation.

Computed properties:
**Crystal system**: monoclinic
**DFT total energy**: -7.078 eV per atom
**Volume**: 117.9 Å³/f.u.

a b c (Å): 5.322 5.779 9.333
angles (deg): 90.00 124.78 90.00
Space group P2_1/c (No. 14)
Asymmetric unit:
Tb (0.226, 0.077, 0.250)
Co (0.500, 0.000, 0.000)
Pd (0.000, 0.000, 0.500)
O (0.125, 0.196, 0.940)
O (0.256, 0.691, 0.942)
O (0.372, 0.045, 0.752)